No. 1
DFT (PBE-GGA) results for a relaxed structure of MgAg2Ir.

a = 5.2389 Å, b = 5.2389 Å, c = 5.2389 Å
α = 142.70°, β = 128.88°, γ = 64.97°
With the nearest neighbours (Å) after each atom.
Element x y z (fractional)
Ag  0.0042  0.0042  0.0000  2 Mg 2.77, 2 Ag 2.81, 4 Ir 2.82
Ag  0.7488  0.2488  0.5000  4 Ag 2.81-3.13, 4 Ir 2.81-3.13, 4 Mg 2.81
Ir  0.4931  0.4931  0.0000  2 Mg 2.70, 6 Ag 2.81-2.82
Mg  0.2539  0.7539  0.5000  2 Ir 2.70, 6 Ag 2.77-2.81

Properties
* DFT total energy: -15.8 eV for the cell shown
* calculated formation energy: 78 meV per atom

No. 2
DFT (PBE-GGA) results for a relaxed structure of GaNiHg2.

a = 2.9738 Å, b = 2.9738 Å, c = 10.9495 Å
α = 82.20°, β = 82.20°, γ = 60.00°
With the nearest neighbours (Å) after each atom.
Element x y z (fractional)
Ni  0.0000  0.0000  0.0000  2 Hg 2.60
Hg  0.0802  0.0802  0.7593  1 Ni 2.60
Hg  0.9198  0.9198  0.2407  1 Ni 2.60
Ga  0.5000  0.5000  0.5000  6 Ga 2.97, 6 Hg 3.29

Properties
* DFT total energy: -7.6 eV for the cell shown
* calculated formation energy: 449 meV per atom

No. 3
DFT (PBE-GGA) results for a relaxed structure of RbCdHg2Au.

a = 5.7624 Å, b = 5.7624 Å, c = 5.4370 Å
α = 90.00°, β = 90.00°, γ = 90.00°
With the nearest neighbours (Å) after each atom.
Element x y z (fractional)
Au  0.0000  0.0000  0.5000  2 Cd 2.72
Hg  0.0000  0.5000  0.0000  2 Cd 2.88
Hg  0.5000  0.0000  0.0000  2 Cd 2.88
Rb  0.5000  0.5000  0.5000  8 Hg 3.96, 4 Au 4.07
Cd  0.0000  0.0000  0.0000  2 Au 2.72, 4 Hg 2.88

Properties
* DFT total energy: -6.2 eV for the cell shown
* energy above the lowest structure with this stoichiometry: 105 meV/atom
* calculated formation energy: -93 meV per atom

No. 4
DFT (PBE-GGA) results for a relaxed structure of PuScRuAu.

a = 4.8289 Å, b = 4.8289 Å, c = 4.8289 Å
α = 60.00°, β = 60.00°, γ = 60.00°
With the nearest neighbours (Å) after each atom.
Element x y z (fractional)
Sc  0.7500  0.7500  0.7500  4 Ru 2.96, 4 Au 2.96
Ru  0.5000  0.5000  0.5000  4 Sc 2.96, 4 Pu 2.96
Au  0.0000  0.0000  0.0000  4 Pu 2.96, 4 Sc 2.96
Pu  0.2500  0.2500  0.2500  4 Ru 2.96, 4 Au 2.96

Properties
* DFT total energy: -34.6 eV for the cell shown
* calculated formation energy: -345 meV per atom

No. 5
DFT (PBE-GGA) results for a relaxed structure of YMoSe.

a = 4.3742 Å, b = 4.3742 Å, c = 3.7717 Å
α = 90.00°, β = 90.00°, γ = 120.00°
With the nearest neighbours (Å) after each atom.
Element x y z (fractional)
Mo  0.0000  0.0000  0.1666  3 Se 2.53
Se  0.6667  0.3333  0.1667  3 Mo 2.53
Y  0.3333  0.6667  0.6667  6 Mo 3.15, 6 Se 3.15

Properties
* E_form (uncorrected): -0.24 eV per atom
* DFT total energy: -21.5 eV for the cell shown
* energy above the lowest structure with this stoichiometry: 56 meV/atom

No. 6
DFT (PBE-GGA) results for a relaxed structure of Sr2YTa.

a = 3.3858 Å, b = 5.4437 Å, c = 6.9506 Å
α = 90.00°, β = 90.00°, γ = 90.00°
With the nearest neighbours (Å) after each atom.
Element x y z (fractional)
Sr  0.0000  0.0000  0.0173  3 Sr 3.24-3.39, 4 Ta 3.59
Sr  0.0000  0.0000  0.4827  3 Sr 3.24-3.39, 4 Ta 3.59
Ta  0.5000  0.5000  0.2500  2 Ta 3.39, 2 Y 3.48, 8 Sr 3.59
Y  0.5000  0.5000  0.7500  2 Y 3.39, 2 Ta 3.48, 8 Sr 3.70

Properties
* DFT total energy: -18.2 eV for the cell shown
* energy above the lowest structure with this stoichiometry: 318 meV/atom
* calculated formation energy: 870 meV per atom